# 1
Cd2SbP | PBE | relaxed

CIF file:
```
data_Cd2SbP
_chemical_formula_sum 'Cd6 Sb3 P3'
_cell_length_a 3.8036
_cell_length_b 3.8036
_cell_length_c 22.7567
_cell_angle_alpha 90.00
_cell_angle_beta 90.00
_cell_angle_gamma 120.00
_symmetry_space_group_name_H-M 'R -3 m'
_symmetry_Int_Tables_number 166
_symmetry_space_group_name_Hall '-R 3 2"'
loop_
_atom_site_label
_atom_site_fract_x
_atom_site_fract_y
_atom_site_fract_z
_atom_site_occupancy
Cd1 0.0000 0.0000 0.2358 1
Sb1 0.0000 0.0000 0.0000 1
P1 0.0000 0.0000 0.5000 1
```

Calculated values
The value obtained for the formation energy (no corrections) is 0.1518 eV per atom. Its crystal system is trigonal. Its electronic total energy is -2.69 eV/atom. As for the energy above the most stable polymorph in this dataset: 0.0431 eV/atom.

---

# 2
Cd2SbP | PBE | relaxed

CIF file:
```
data_Cd2SbP
_chemical_formula_sum 'Cd2 Sb1 P1'
_cell_length_a 3.494
_cell_length_b 3.494
_cell_length_c 7.568
_cell_angle_alpha 90.00
_cell_angle_beta 90.00
_cell_angle_gamma 90.00
_symmetry_space_group_name_H-M 'P 4 m m'
_symmetry_Int_Tables_number 99
_symmetry_space_group_name_Hall 'P 4 -2'
loop_
_atom_site_label
_atom_site_fract_x
_atom_site_fract_y
_atom_site_fract_z
_atom_site_occupancy
Cd1 0.000 0.000 0.000 1
Cd2 0.500 0.500 0.248 1
Sb1 0.500 0.500 0.677 1
P1 0.000 0.000 0.510 1
```

Calculated values
The value obtained for the formation energy (no corrections) is 0.2163 eV per atom. Its crystal system is tetragonal. Its electronic total energy is -2.62 eV/atom. As for the energy above the most stable polymorph in this dataset: 0.1075 eV/atom.

---

# 3
Cd4SbP | PBE | relaxed

CIF file:
```
data_Cd4SbP
_chemical_formula_sum 'Cd8 Sb2 P2'
_cell_length_a 7.215
_cell_length_b 6.442
_cell_length_c 6.850
_cell_angle_alpha 90.00
_cell_angle_beta 100.64
_cell_angle_gamma 90.00
_symmetry_space_group_name_H-M 'C 1 2/m 1'
_symmetry_Int_Tables_number 12
_symmetry_space_group_name_Hall '-C 2y'
loop_
_atom_site_label
_atom_site_fract_x
_atom_site_fract_y
_atom_site_fract_z
_atom_site_occupancy
Cd1 0.240 0.224 0.226 1
Sb1 0.000 0.000 0.500 1
P1 0.000 0.500 0.000 1
```

Calculated values
The value obtained for the formation energy (no corrections) is 0.0724 eV per atom. Its crystal system is monoclinic. Its electronic total energy is -2.13 eV/atom. As for the energy above the most stable polymorph in this dataset: 0.0000 eV/atom.

---

# 4
CdSbP3 | PBE | relaxed

CIF file:
```
data_CdSbP3
_chemical_formula_sum 'Cd1 Sb1 P3'
_cell_length_a 5.065
_cell_length_b 5.065
_cell_length_c 5.065
_cell_angle_alpha 90.00
_cell_angle_beta 90.00
_cell_angle_gamma 90.00
_symmetry_space_group_name_H-M 'P m -3 m'
_symmetry_Int_Tables_number 221
_symmetry_space_group_name_Hall '-P 4 2 3'
loop_
_atom_site_label
_atom_site_fract_x
_atom_site_fract_y
_atom_site_fract_z
_atom_site_occupancy
Cd1 0.000 0.000 0.000 1
Sb1 0.500 0.500 0.500 1
P1 0.000 0.500 0.500 1
```

Calculated values
The value obtained for the formation energy (no corrections) is 1.0989 eV per atom. Its crystal system is cubic. Its electronic total energy is -3.15 eV/atom. As for the energy above the most stable polymorph in this dataset: 0.0000 eV/atom.

---

# 5
CdSb2P | PBE | relaxed

CIF file:
```
data_CdSb2P
_chemical_formula_sum 'Cd1 Sb2 P1'
_cell_length_a 3.803
_cell_length_b 4.644
_cell_length_c 5.364
_cell_angle_alpha 90.00
_cell_angle_beta 90.00
_cell_angle_gamma 90.00
_symmetry_space_group_name_H-M 'P m m m'
_symmetry_Int_Tables_number 47
_symmetry_space_group_name_Hall '-P 2 2'
loop_
_atom_site_label
_atom_site_fract_x
_atom_site_fract_y
_atom_site_fract_z
_atom_site_occupancy
Cd1 0.000 0.000 0.000 1
Sb1 0.000 0.500 0.500 1
Sb2 0.500 0.500 0.000 1
P1 0.500 0.000 0.500 1
```

Calculated values
The value obtained for the formation energy (no corrections) is 0.3924 eV per atom. Its crystal system is orthorhombic. Its electronic total energy is -3.25 eV/atom. As for the energy above the most stable polymorph in this dataset: 0.2419 eV/atom.

---

# 6
CdSbP2 | PBE | relaxed

CIF file:
```
data_CdSbP2
_chemical_formula_sum 'Cd4 Sb4 P8'
_cell_length_a 5.984
_cell_length_b 5.984
_cell_length_c 12.434
_cell_angle_alpha 90.00
_cell_angle_beta 90.00
_cell_angle_gamma 90.00
_symmetry_space_group_name_H-M 'I -4 2 d'
_symmetry_Int_Tables_number 122
_symmetry_space_group_name_Hall 'I -4 2bw'
loop_
_atom_site_label
_atom_site_fract_x
_atom_site_fract_y
_atom_site_fract_z
_atom_site_occupancy
Cd1 0.000 0.000 0.000 1
Sb1 0.000 0.000 0.500 1
P1 0.250 0.250 0.125 1
```

Calculated values
The value obtained for the formation energy (no corrections) is 0.1823 eV per atom. Its crystal system is tetragonal. Its electronic total energy is -3.78 eV/atom. As for the energy above the most stable polymorph in this dataset: 0.0587 eV/atom.

---

# 7
Cd2SbP | PBE | relaxed

CIF file:
```
data_Cd2SbP
_chemical_formula_sum 'Cd4 Sb2 P2'
_cell_length_a 3.673
_cell_length_b 4.531
_cell_length_c 11.407
_cell_angle_alpha 90.00
_cell_angle_beta 90.00
_cell_angle_gamma 90.00
_symmetry_space_group_name_H-M 'I m m 2'
_symmetry_Int_Tables_number 44
_symmetry_space_group_name_Hall 'I 2 -2'
loop_
_atom_site_label
_atom_site_fract_x
_atom_site_fract_y
_atom_site_fract_z
_atom_site_occupancy
Cd1 0.000 0.000 0.000 1
Cd2 0.000 0.500 0.180 1
Sb1 0.000 0.000 0.397 1
P1 0.000 0.500 0.722 1
```

Calculated values
The value obtained for the formation energy (no corrections) is 0.1827 eV per atom. Its crystal system is orthorhombic. Its electronic total energy is -2.66 eV/atom. As for the energy above the most stable polymorph in this dataset: 0.0740 eV/atom.

---

# 8
CdSbP2 | PBE | relaxed

CIF file:
```
data_CdSbP2
_chemical_formula_sum 'Cd2 Sb2 P4'
_cell_length_a 6.719
_cell_length_b 3.875
_cell_length_c 6.889
_cell_angle_alpha 90.00
_cell_angle_beta 109.16
_cell_angle_gamma 90.00
_symmetry_space_group_name_H-M 'C 1 2/m 1'
_symmetry_Int_Tables_number 12
_symmetry_space_group_name_Hall '-C 2y'
loop_
_atom_site_label
_atom_site_fract_x
_atom_site_fract_y
_atom_site_fract_z
_atom_site_occupancy
Cd1 0.000 0.000 0.000 1
Sb1 0.000 0.500 0.500 1
P1 0.248 0.000 0.743 1
```

Calculated values
The value obtained for the formation energy (no corrections) is 0.1235 eV per atom. Its crystal system is monoclinic. Its electronic total energy is -3.84 eV/atom. As for the energy above the most stable polymorph in this dataset: 0.0000 eV/atom.

---

# 9
CdSb2P | PBE | relaxed

CIF file:
```
data_CdSb2P
_chemical_formula_sum 'Cd2 Sb4 P2'
_cell_length_a 3.821
_cell_length_b 4.297
_cell_length_c 11.963
_cell_angle_alpha 90.00
_cell_angle_beta 90.00
_cell_angle_gamma 90.00
_symmetry_space_group_name_H-M 'I m m m'
_symmetry_Int_Tables_number 71
_symmetry_space_group_name_Hall '-I 2 2'
loop_
_atom_site_label
_atom_site_fract_x
_atom_site_fract_y
_atom_site_fract_z
_atom_site_occupancy
Cd1 0.000 0.000 0.000 1
Sb1 0.000 0.500 0.188 1
P1 0.000 0.000 0.500 1
```

Calculated values
The value obtained for the formation energy (no corrections) is 0.2416 eV per atom. Its crystal system is orthorhombic. Its electronic total energy is -3.40 eV/atom. As for the energy above the most stable polymorph in this dataset: 0.0911 eV/atom.

---

# 10
Cd2SbP | PBE | relaxed

CIF file:
```
data_Cd2SbP
_chemical_formula_sum 'Cd8 Sb4 P4'
_cell_length_a 6.486
_cell_length_b 6.486
_cell_length_c 11.335
_cell_angle_alpha 90.00
_cell_angle_beta 90.00
_cell_angle_gamma 90.00
_symmetry_space_group_name_H-M 'I -4 2 d'
_symmetry_Int_Tables_number 122
_symmetry_space_group_name_Hall 'I -4 2bw'
loop_
_atom_site_label
_atom_site_fract_x
_atom_site_fract_y
_atom_site_fract_z
_atom_site_occupancy
Cd1 0.205 0.250 0.125 1
Sb1 0.000 0.000 0.500 1
P1 0.000 0.000 0.000 1
```

Calculated values
The value obtained for the formation energy (no corrections) is 0.2127 eV per atom. Its crystal system is tetragonal. Its electronic total energy is -2.63 eV/atom. As for the energy above the most stable polymorph in this dataset: 0.1040 eV/atom.

---

# 11
CdSb2P | PBE | relaxed

CIF file:
```
data_CdSb2P
_chemical_formula_sum 'Cd2 Sb4 P2'
_cell_length_a 8.166
_cell_length_b 8.195
_cell_length_c 3.026
_cell_angle_alpha 90.00
_cell_angle_beta 92.95
_cell_angle_gamma 90.00
_symmetry_space_group_name_H-M 'C 1 2/m 1'
_symmetry_Int_Tables_number 12
_symmetry_space_group_name_Hall '-C 2y'
loop_
_atom_site_label
_atom_site_fract_x
_atom_site_fract_y
_atom_site_fract_z
_atom_site_occupancy
Cd1 0.000 0.000 0.000 1
Sb1 0.250 0.250 0.000 1
P1 0.000 0.500 0.000 1
```

Calculated values
The value obtained for the formation energy (no corrections) is 0.2294 eV per atom. Its crystal system is monoclinic. Its electronic total energy is -3.41 eV/atom. As for the energy above the most stable polymorph in this dataset: 0.0789 eV/atom.

---

# 12
Cd2SbP | PBE | relaxed

CIF file:
```
data_Cd2SbP
_chemical_formula_sum 'Cd4 Sb2 P2'
_cell_length_a 4.565
_cell_length_b 4.565
_cell_length_c 8.654
_cell_angle_alpha 90.00
_cell_angle_beta 90.00
_cell_angle_gamma 90.00
_symmetry_space_group_name_H-M 'I -4 m 2'
_symmetry_Int_Tables_number 119
_symmetry_space_group_name_Hall 'I -4 -2'
loop_
_atom_site_label
_atom_site_fract_x
_atom_site_fract_y
_atom_site_fract_z
_atom_site_occupancy
Cd1 0.000 0.000 0.000 1
Cd2 0.000 0.500 0.250 1
Sb1 0.000 0.000 0.500 1
P1 0.000 0.500 0.750 1
```

Calculated values
The value obtained for the formation energy (no corrections) is 0.3387 eV per atom. Its crystal system is tetragonal. Its electronic total energy is -2.50 eV/atom. As for the energy above the most stable polymorph in this dataset: 0.2300 eV/atom.

---

# 13
CdSb2PSe | PBE | relaxed

CIF file:
```
data_CdSb2PSe
_chemical_formula_sum 'Cd1 Sb2 P1 Se1'
_cell_length_a 5.451
_cell_length_b 5.451
_cell_length_c 4.814
_cell_angle_alpha 90.00
_cell_angle_beta 90.00
_cell_angle_gamma 90.00
_symmetry_space_group_name_H-M 'P 4/m m m'
_symmetry_Int_Tables_number 123
_symmetry_space_group_name_Hall '-P 4 2'
loop_
_atom_site_label
_atom_site_fract_x
_atom_site_fract_y
_atom_site_fract_z
_atom_site_occupancy
Cd1 0.000 0.000 0.000 1
Sb1 0.000 0.500 0.500 1
P1 0.500 0.500 0.000 1
Se1 0.500 0.500 0.500 1
```

Calculated values
The value obtained for the formation energy (no corrections) is 0.7358 eV per atom. Its crystal system is tetragonal. Its electronic total energy is -2.88 eV/atom.

---

# 14
CdSbTe2P | PBE | relaxed

CIF file:
```
data_CdSbTe2P
_chemical_formula_sum 'Cd1 Sb1 Te2 P1'
_cell_length_a 5.511
_cell_length_b 5.511
_cell_length_c 5.493
_cell_angle_alpha 90.00
_cell_angle_beta 90.00
_cell_angle_gamma 90.00
_symmetry_space_group_name_H-M 'P 4/m m m'
_symmetry_Int_Tables_number 123
_symmetry_space_group_name_Hall '-P 4 2'
loop_
_atom_site_label
_atom_site_fract_x
_atom_site_fract_y
_atom_site_fract_z
_atom_site_occupancy
Cd1 0.000 0.000 0.000 1
Sb1 0.000 0.000 0.500 1
Te1 0.000 0.500 0.000 1
P1 0.500 0.500 0.500 1
```

Calculated values
The value obtained for the formation energy (no corrections) is 1.0863 eV per atom. Its crystal system is tetragonal. Its electronic total energy is -2.26 eV/atom. As for the energy above the most stable polymorph in this dataset: 0.6340 eV/atom.

---

# 15
CdSbTe2P | PBE | relaxed

CIF file:
```
data_CdSbTe2P
_chemical_formula_sum 'Cd1 Sb1 Te2 P1'
_cell_length_a 5.371
_cell_length_b 5.371
_cell_length_c 5.135
_cell_angle_alpha 90.00
_cell_angle_beta 90.00
_cell_angle_gamma 90.00
_symmetry_space_group_name_H-M 'P 4/m m m'
_symmetry_Int_Tables_number 123
_symmetry_space_group_name_Hall '-P 4 2'
loop_
_atom_site_label
_atom_site_fract_x
_atom_site_fract_y
_atom_site_fract_z
_atom_site_occupancy
Cd1 0.000 0.000 0.000 1
Sb1 0.500 0.500 0.000 1
Te1 0.000 0.500 0.500 1
P1 0.500 0.500 0.500 1
```

Calculated values
The value obtained for the formation energy (no corrections) is 0.4523 eV per atom. Its crystal system is tetragonal. Its electronic total energy is -2.89 eV/atom. As for the energy above the most stable polymorph in this dataset: 0.0000 eV/atom.